Entry from Alexandria: crystalline PmNpSe3 at its relaxed geometry (PBE).

## Properties
The offset from the most stable computed form is 0.000 eV per atom. Its formation energy from raw total energies is -7.6 eV per formula unit. The calculation puts the total DFT energy (no corrections) at -143.1 eV per cell.

Cell lengths 7.7615, 4.1324, 15.9829 Å; angles 90.00, 90.00, 90.00 degrees
Fractional positions:
Pm (0.2379, 0.2500, 0.0424)
Pm (0.2621, 0.7500, 0.5424)
Pm (0.7379, 0.2500, 0.4576)
Pm (0.7621, 0.7500, 0.9576)
Np (0.1364, 0.7500, 0.2902)
Np (0.3636, 0.2500, 0.7902)
Np (0.6364, 0.7500, 0.2098)
Np (0.8636, 0.2500, 0.7098)
Se (0.0053, 0.7500, 0.1103)
Se (0.1242, 0.2500, 0.4288)
Se (0.1464, 0.7500, 0.7221)
Se (0.3536, 0.2500, 0.2221)
Se (0.3758, 0.7500, 0.9288)
Se (0.4947, 0.2500, 0.6103)
Se (0.5053, 0.7500, 0.3897)
Se (0.6242, 0.2500, 0.0712)
Se (0.6464, 0.7500, 0.7779)
Se (0.8536, 0.2500, 0.2779)
Se (0.8758, 0.7500, 0.5712)
Se (0.9947, 0.2500, 0.8897)

Entry from Alexandria: crystalline Pr12Er5Tm2 at its relaxed geometry (PBE).

## Properties
The offset from the most stable computed form is 0.029 eV per atom. The formation enthalpy at 0 K is 2.46 eV per formula unit. The calculation puts the total DFT energy (no corrections) at -86.7 eV per cell.

Cell lengths 9.2486, 9.2486, 8.1772 Å; angles 93.93, 93.93, 71.18 degrees
Fractional positions:
Pr (0.0578, 0.0578, 0.2147)
Pr (0.0968, 0.5397, 0.7080)
Pr (0.1224, 0.6638, 0.1166)
Pr (0.3362, 0.8776, 0.8834)
Pr (0.3729, 0.3729, 0.3970)
Pr (0.4603, 0.9032, 0.2920)
Pr (0.5397, 0.0968, 0.7080)
Pr (0.6271, 0.6271, 0.6030)
Pr (0.6638, 0.1224, 0.1166)
Pr (0.8776, 0.3362, 0.8834)
Pr (0.9032, 0.4603, 0.2920)
Pr (0.9422, 0.9422, 0.7853)
Er (0.1563, 0.1563, 0.6023)
Er (0.2596, 0.2596, 0.0101)
Er (0.5000, 0.5000, 0.0000)
Er (0.7404, 0.7404, 0.9899)
Er (0.8437, 0.8437, 0.3977)
Tm (0.2247, 0.7753, 0.5000)
Tm (0.7753, 0.2247, 0.5000)

Entry from Alexandria: crystalline AcMoN3 at its relaxed geometry (PBE).

## Properties
Its formation energy from raw total energies is -4.3 eV per formula unit. The calculation puts the total DFT energy (no corrections) at -177.0 eV per cell.

Cell lengths 7.5954, 7.5954, 6.4150 Å; angles 102.02, 102.02, 88.23 degrees
Fractional positions:
Ac (0.0946, 0.9054, 0.7500)
Ac (0.3202, 0.6798, 0.2500)
Ac (0.6798, 0.3202, 0.7500)
Ac (0.9054, 0.0946, 0.2500)
Mo (0.2021, 0.3780, 0.7416)
Mo (0.3780, 0.2021, 0.2416)
Mo (0.6220, 0.7979, 0.7584)
Mo (0.7979, 0.6220, 0.2584)
N (0.0031, 0.2281, 0.6566)
N (0.1355, 0.6006, 0.8498)
N (0.2281, 0.0031, 0.1566)
N (0.3213, 0.3665, 0.4917)
N (0.3665, 0.3213, 0.9917)
N (0.3994, 0.8645, 0.6502)
N (0.6006, 0.1355, 0.3498)
N (0.6335, 0.6787, 0.0083)
N (0.6787, 0.6335, 0.5083)
N (0.7719, 0.9969, 0.8434)
N (0.8645, 0.3994, 0.1502)
N (0.9969, 0.7719, 0.3434)